Entry 1:
First-principles (GGA-PBE) data for RbDy3Ga4O12 after structural relaxation, as listed in Alexandria via LeMat-Bulk.

Lattice parameters (Å, degrees): 11.8533 11.8533 7.8131 90.00 90.00 120.00
Space group R32 (No. 155, hexagonal axes)
Asymmetric unit:
Rb1 0.0000 0.0000 0.0000
Dy1 0.0000 0.5530 0.0000
Ga1 0.0000 0.0000 0.5000
Ga2 0.0000 0.4442 0.5000
O1 0.0000 0.5964 0.5000
O2 0.0000 0.8482 0.5000
O3 0.0488 0.2378 0.1615

Results
total magnetization = 2.10 μB per formula unit
energy relative to the elements, uncorrected = -2.15 eV per atom


Entry 2:
First-principles (GGA-PBE) data for DyGa2ReO8 after structural relaxation, as listed in Alexandria via LeMat-Bulk.

Lattice parameters (Å, degrees): 4.741 6.331 4.747 90.00 90.26 90.00
Space group P2/m (No. 10)
Asymmetric unit:
Dy1 0.000 0.000 0.000
Ga1 0.500 0.241 0.500
Re1 0.000 0.500 0.000
O1 0.198 0.289 0.197
O2 0.291 0.500 0.708
O3 0.319 0.000 0.680

Results
total magnetization = 0.00 μB per formula unit
energy relative to the elements, uncorrected = -1.97 eV per atom


Entry 3:
First-principles (GGA-PBE) data for DyGaRhO4 after structural relaxation, as listed in Alexandria via LeMat-Bulk.

Lattice parameters (Å, degrees): 6.004 8.860 7.068 90.00 90.00 90.00
Space group Cmcm (No. 63)
Asymmetric unit:
Dy1 0.000 0.000 0.000
Ga1 0.000 0.371 0.250
Rh1 0.000 0.288 0.750
O1 0.000 0.256 0.030
O2 0.248 0.003 0.750

Results
total magnetization = 1.49 μB per formula unit
energy relative to the elements, uncorrected = -1.79 eV per atom


Which value of energy relative to the elements, uncorrected does entry 2 give?
-1.97 eV per atom